Record 1
Below is a crystal of MgCd2TcAg relaxed with PBEsol, with properties calculated at the SCAN level.

Properties
Energy of formation, meV per atom: 977

Cell lengths 5.1101, 5.1101, 4.9534 Å; angles 90.00, 90.00, 90.00 degrees
Closest atoms and distances in Å follow each position.
Space group P4/mmm (No. 123)
Symmetry-distinct sites (fractional):
Mg: 0.0000 0.0000 0.0000 [1 per cell]  2 Tc 2.48
Cd: 0.0000 0.5000 0.5000 [2 per cell]  2 Tc 2.56
Tc: 0.0000 0.0000 0.5000 [1 per cell]  2 Mg 2.48, 4 Cd 2.56
Ag: 0.5000 0.5000 0.0000 [1 per cell]  8 Cd 3.56, 4 Mg 3.61


Record 2
Below is a crystal of MnCdAg2 relaxed with PBEsol, with properties calculated at the SCAN level.

Properties
Energy of formation, meV per atom: -42

Cell lengths 4.1042, 4.1042, 7.9517 Å; angles 90.00, 90.00, 90.00 degrees
Closest atoms and distances in Å follow each position.
Space group I-4m2 (No. 119)
Symmetry-distinct sites (fractional):
Mn: 0.0000 0.0000 0.0000 [2 per cell]  4 Cd 2.86, 8 Ag 2.86-2.90
Cd: 0.0000 0.5000 0.2500 [2 per cell]  4 Mn 2.86, 8 Ag 2.86-2.90
Ag: 0.0000 0.0000 0.5000 [2 per cell]  4 Cd 2.86, 4 Ag 2.86, 4 Mn 2.90
Ag: 0.0000 0.5000 0.7500 [2 per cell]  4 Mn 2.86, 4 Ag 2.86, 4 Cd 2.90


Record 3
Below is a crystal of MnCdAg2 relaxed with PBEsol, with properties calculated at the SCAN level.

Properties
Energy of formation, meV per atom: 13

Cell lengths 2.9093, 2.9093, 27.6099 Å; angles 90.00, 90.00, 120.00 degrees
Closest atoms and distances in Å follow each position.
Space group R-3m (No. 166, hexagonal axes)
Symmetry-distinct sites (fractional):
Mn: 0.0000 0.0000 0.0000 [3 per cell]  6 Ag 2.75, 6 Mn 2.91
Cd: 0.0000 0.0000 0.5000 [3 per cell]  6 Cd 2.91, 6 Ag 2.95
Ag: 0.0000 0.0000 0.2546 [6 per cell]  3 Mn 2.75, 6 Ag 2.91, 3 Cd 2.95


Record 4
Below is a crystal of Mn2CdAg relaxed with PBEsol, with properties calculated at the SCAN level.

Properties
Energy of formation, meV per atom: 34

Cell lengths 9.3012, 2.8457, 4.8855 Å; angles 90.00, 101.66, 90.00 degrees
Closest atoms and distances in Å follow each position.
Space group Cm (No. 8)
Symmetry-distinct sites (fractional):
Mn: 0.0000 0.0000 0.0000 [2 per cell]  5 Mn 2.69-2.92, 4 Ag 2.77-2.89, 3 Cd 2.79-2.82
Mn: 0.2374 0.5000 0.2430 [2 per cell]  5 Mn 2.69-2.92, 3 Ag 2.78-2.80, 4 Cd 2.80-2.85
Cd: 0.2454 0.0000 0.7525 [2 per cell]  7 Mn 2.79-2.85, 3 Ag 2.84-2.87, 2 Cd 2.85
Ag: 0.4881 0.0000 0.4811 [2 per cell]  7 Mn 2.77-2.89, 3 Cd 2.84-2.87, 2 Ag 2.85


Record 5
Below is a crystal of Mn2CdAg relaxed with PBEsol, with properties calculated at the SCAN level.

Properties
Energy of formation, meV per atom: -1

Cell lengths 2.8587, 3.9037, 5.6856 Å; angles 90.00, 90.00, 90.00 degrees
Closest atoms and distances in Å follow each position.
Space group Pmmm (No. 47)
Symmetry-distinct sites (fractional):
Mn: 0.0000 0.0000 0.2442 [2 per cell]  4 Mn 2.78-2.91, 4 Ag 2.79, 4 Cd 2.82
Cd: 0.5000 0.5000 0.5000 [1 per cell]  8 Mn 2.82, 2 Ag 2.84, 2 Cd 2.86
Ag: 0.5000 0.5000 0.0000 [1 per cell]  8 Mn 2.79, 2 Cd 2.84, 2 Ag 2.86


Record 6
Below is a crystal of CdAg4Mo relaxed with PBEsol, with properties calculated at the SCAN level.

Properties
Energy of formation, meV per atom: 486

Cell lengths 7.5292, 7.5292, 7.5292 Å; angles 90.00, 90.00, 90.00 degrees
Closest atoms and distances in Å follow each position.
Space group F-43m (No. 216)
Symmetry-distinct sites (fractional):
Cd: 0.0000 0.0000 0.0000 [4 per cell]  12 Ag 3.12, 4 Mo 3.26
Ag: 0.1249 0.1249 0.3751 [16 per cell]  6 Ag 2.66
Mo: 0.2500 0.2500 0.7500 [4 per cell]  12 Ag 3.12, 4 Cd 3.26


Record 7
Below is a crystal of CdAg2Mo relaxed with PBEsol, with properties calculated at the SCAN level.

Properties
Energy of formation, meV per atom: 577

Cell lengths 4.2163, 4.2163, 7.6677 Å; angles 90.00, 90.00, 90.00 degrees
Closest atoms and distances in Å follow each position.
Space group I-4m2 (No. 119)
Symmetry-distinct sites (fractional):
Cd: 0.0000 0.0000 0.0000 [2 per cell]  4 Mo 2.85, 8 Ag 2.85-2.98
Ag: 0.0000 0.0000 0.5000 [2 per cell]  4 Mo 2.85, 4 Ag 2.85, 4 Cd 2.98
Ag: 0.0000 0.5000 0.7500 [2 per cell]  4 Cd 2.85, 4 Ag 2.85, 4 Mo 2.98
Mo: 0.0000 0.5000 0.2500 [2 per cell]  4 Cd 2.85, 8 Ag 2.85-2.98


Record 8
Below is a crystal of CdAg2Mo relaxed with PBEsol, with properties calculated at the SCAN level.

Properties
Energy of formation, meV per atom: 315

Cell lengths 2.8162, 2.8162, 29.2394 Å; angles 90.00, 90.00, 120.00 degrees
Closest atoms and distances in Å follow each position.
Space group R-3m (No. 166, hexagonal axes)
Symmetry-distinct sites (fractional):
Cd: 0.0000 0.0000 0.0000 [3 per cell]  6 Cd 2.82, 6 Ag 2.98
Ag: 0.0000 0.0000 0.2478 [6 per cell]  6 Ag 2.82, 3 Mo 2.88, 3 Cd 2.98
Mo: 0.0000 0.0000 0.5000 [3 per cell]  6 Mo 2.82, 6 Ag 2.88


Repeat the seventh record exactly.
Below is a crystal of CdAg2Mo relaxed with PBEsol, with properties calculated at the SCAN level.

Properties
Energy of formation, meV per atom: 577

Cell lengths 4.2163, 4.2163, 7.6677 Å; angles 90.00, 90.00, 90.00 degrees
Closest atoms and distances in Å follow each position.
Space group I-4m2 (No. 119)
Symmetry-distinct sites (fractional):
Cd: 0.0000 0.0000 0.0000 [2 per cell]  4 Mo 2.85, 8 Ag 2.85-2.98
Ag: 0.0000 0.0000 0.5000 [2 per cell]  4 Mo 2.85, 4 Ag 2.85, 4 Cd 2.98
Ag: 0.0000 0.5000 0.7500 [2 per cell]  4 Cd 2.85, 4 Ag 2.85, 4 Mo 2.98
Mo: 0.0000 0.5000 0.2500 [2 per cell]  4 Cd 2.85, 8 Ag 2.85-2.98